Record 1
A plane-wave DFT calculation with SCAN was carried out for TcRuRh2 at its PBEsol-relaxed geometry.

Cell lengths 4.280, 4.280, 4.280 Å; angles 60.00, 60.00, 60.00 degrees
Positions (direct):
Tc 0.000 0.000 0.000
Ru 0.500 0.500 0.500
Rh 0.250 0.250 0.250
Rh 0.750 0.750 0.750

Summary:
Theoretical density, kg/m³: 12125
Crystal system: cubic
Energy relative to the lowest polymorph listed for this composition, meV/atom: 493

Record 2
A plane-wave DFT calculation with SCAN was carried out for CaLa2Si2 at its PBEsol-relaxed geometry.

Cell lengths 8.182, 8.182, 3.996 Å; angles 90.00, 90.00, 90.00 degrees
Positions (direct):
Ca 0.000 0.000 0.000
Ca 0.500 0.500 0.000
La 0.134 0.366 0.500
La 0.366 0.866 0.500
La 0.634 0.134 0.500
La 0.866 0.634 0.500
Si 0.167 0.667 0.000
Si 0.333 0.167 0.000
Si 0.667 0.833 0.000
Si 0.833 0.333 0.000

Summary:
Theoretical density, kg/m³: 4643
Crystal system: tetragonal
Formation energy without anion corrections, eV per atom: -0.593

Record 3
A plane-wave DFT calculation with SCAN was carried out for KNpAgS3 at its PBEsol-relaxed geometry.

Cell lengths 7.192, 7.192, 10.200 Å; angles 90.00, 90.00, 147.60 degrees
Positions (direct):
K 0.240 0.760 0.750
K 0.760 0.240 0.250
Np 0.500 0.500 0.000
Np 0.500 0.500 0.500
Ag 0.047 0.953 0.250
Ag 0.953 0.047 0.750
S 0.126 0.874 0.037
S 0.126 0.874 0.463
S 0.438 0.562 0.250
S 0.562 0.438 0.750
S 0.874 0.126 0.537
S 0.874 0.126 0.963

Summary:
Theoretical density, kg/m³: 5642
Crystal system: orthorhombic
Formation energy without anion corrections, eV per atom: -1.251

Record 4
A plane-wave DFT calculation with SCAN was carried out for KRu2Br at its PBEsol-relaxed geometry.

Cell lengths 3.702, 3.702, 8.078 Å; angles 103.29, 103.29, 60.04 degrees
Positions (direct):
K 0.000 0.000 0.000
Ru 0.446 0.446 0.335
Ru 0.820 0.820 0.457
Br 0.230 0.230 0.691

Summary:
Theoretical density, kg/m³: 5767
Crystal system: monoclinic
Energy relative to the lowest polymorph listed for this composition, meV/atom: 0
Formation energy without anion corrections, eV per atom: 0.229

What did the first record say?
A plane-wave DFT calculation with SCAN was carried out for TcRuRh2 at its PBEsol-relaxed geometry.

Cell lengths 4.280, 4.280, 4.280 Å; angles 60.00, 60.00, 60.00 degrees
Positions (direct):
Tc 0.000 0.000 0.000
Ru 0.500 0.500 0.500
Rh 0.250 0.250 0.250
Rh 0.750 0.750 0.750

Summary:
Theoretical density, kg/m³: 12125
Crystal system: cubic
Energy relative to the lowest polymorph listed for this composition, meV/atom: 493